The following is a DFT calculation (PBEsol) of an optimized crystal structure of RbIn4.

```
RbIn4
1.0
-2.427 2.427 6.321
2.427 -2.427 6.321
2.427 2.427 -6.321
Rb In
1 4
direct
0.000 0.000 0.000 Rb
0.250 0.750 0.500 In
0.387 0.387 0.000 In
0.613 0.613 0.000 In
0.750 0.250 0.500 In
```

Summary:
- Crystal system: tetragonal
- Final energy: -2.730 eV per atom
- SG: I4/mmm (139)
- Formation energy from the elements: -0.14 eV/atom
- Size of the total moment: 0.000 Bohr magnetons per cell

***

The following is a DFT calculation (PBEsol) of an optimized crystal structure of RbScInRh2.

```
RbScInRh2
1.0
4.758 0.000 0.000
0.000 4.758 0.000
0.000 0.000 5.413
Rb Sc In Rh
1 1 1 2
direct
0.000 0.000 0.000 Rb
0.500 0.500 0.500 Sc
0.000 0.000 0.500 In
0.000 0.500 0.000 Rh
0.500 0.000 0.000 Rh
```

Summary:
- Crystal system: tetragonal
- Final energy: -3.703 eV per atom
- SG: P4/mmm (123)
- Formation energy from the elements: 1.68 eV/atom
- Size of the total moment: 0.001 Bohr magnetons per cell

***

The following is a DFT calculation (PBEsol) of an optimized crystal structure of RbZnInRh2.

```
RbZnInRh2
1.0
4.928 0.000 0.000
0.000 4.928 0.000
0.000 0.000 5.921
Rb Zn In Rh
1 1 1 2
direct
0.000 0.000 0.000 Rb
0.500 0.500 0.000 Zn
0.000 0.000 0.500 In
0.000 0.500 0.500 Rh
0.500 0.000 0.500 Rh
```

Summary:
- Crystal system: tetragonal
- Final energy: -3.164 eV per atom
- SG: P4/mmm (123)
- Formation energy from the elements: 1.21 eV/atom
- Size of the total moment: 0.478 Bohr magnetons per cell

***

The following is a DFT calculation (PBEsol) of an optimized crystal structure of RbInS2.

```
RbInS2
1.0
5.516 -5.516 0.000
5.516 5.516 0.000
-2.765 0.000 15.311
Rb In S
8 8 16
direct
0.153 0.777 0.611 Rb
0.222 0.346 0.887 Rb
0.223 0.847 0.889 Rb
0.346 0.222 0.387 Rb
0.654 0.778 0.613 Rb
0.777 0.153 0.111 Rb
0.778 0.654 0.113 Rb
0.847 0.223 0.389 Rb
0.086 0.710 0.340 In
0.290 0.416 0.160 In
0.290 0.914 0.160 In
0.416 0.290 0.660 In
0.584 0.710 0.340 In
0.710 0.086 0.840 In
0.710 0.584 0.840 In
0.914 0.290 0.660 In
0.051 0.426 0.250 S
0.051 0.949 0.250 S
0.140 0.266 0.562 S
0.266 0.140 0.062 S
0.266 0.640 0.061 S
0.360 0.734 0.439 S
0.426 0.051 0.750 S
0.426 0.574 0.750 S
0.574 0.426 0.250 S
0.574 0.949 0.250 S
0.640 0.266 0.561 S
0.734 0.360 0.939 S
0.734 0.860 0.938 S
0.860 0.734 0.438 S
0.949 0.051 0.750 S
0.949 0.574 0.750 S
```

Summary:
- Crystal system: monoclinic
- Final energy: -4.152 eV per atom
- SG: C2/c (15)
- Size of the total moment: 0.001 Bohr magnetons per cell

***

The following is a DFT calculation (PBEsol) of an optimized crystal structure of RbIn5S8.

```
RbIn5S8
1.0
9.481 -1.926 0.000
9.481 1.926 0.000
-1.982 0.000 8.963
Rb In S
1 5 8
direct
0.000 0.000 0.000 Rb
0.149 0.149 0.421 In
0.210 0.210 0.840 In
0.500 0.500 0.500 In
0.790 0.790 0.160 In
0.851 0.851 0.579 In
0.083 0.083 0.634 S
0.266 0.266 0.350 S
0.335 0.335 0.016 S
0.426 0.426 0.709 S
0.574 0.574 0.291 S
0.665 0.665 0.984 S
0.734 0.734 0.650 S
0.917 0.917 0.366 S
```

Summary:
- Crystal system: monoclinic
- Final energy: -4.345 eV per atom
- SG: C2/m (12)
- Size of the total moment: 0.000 Bohr magnetons per cell

***

The following is a DFT calculation (PBEsol) of an optimized crystal structure of RbInS2.

```
RbInS2
1.0
-3.679 3.679 4.341
3.679 -3.679 4.341
3.679 3.679 -4.341
Rb In S
2 2 4
direct
0.000 0.000 0.000 Rb
0.750 0.250 0.500 Rb
0.250 0.750 0.500 In
0.500 0.500 0.000 In
0.208 0.125 0.583 S
0.375 0.792 0.917 S
0.542 0.625 0.417 S
0.875 0.458 0.083 S
```

Summary:
- Crystal system: tetragonal
- Final energy: -4.108 eV per atom
- SG: I-42d (122)
- Size of the total moment: 0.000 Bohr magnetons per cell